HfVF2 | GGA+U | optimized geometry

Lattice parameters (Å, degrees): 4.0888 4.0888 7.9402 75.08 75.08 90.00
Each line ends with the local moment (μB).
Element x y z (fractional)
F 0.8750 0.9478 0.7500  0.02
Hf 0.7500 0.2500 0.5000  -0.13
Hf 0.0000 0.0000 0.0000  -0.13
F 0.6978 0.1250 0.2500  0.02
F 0.0522 0.6250 0.2500  0.02
V 0.5000 0.5000 0.0000  2.58
F 0.3750 0.3022 0.7500  0.02
V 0.2500 0.7500 0.5000  2.58

Values from the calculation:
SG: No. 122
Energy above the lowest structure with this stoichiometry, eV per atom: 0.202
Magnetization, μB/cell: 5.5